Entry 1:
Entry from Alexandria: PmHgP2 after structural relaxation (GGA-PBE).

Output
energy of formation from the pure elements: -0.428 eV/atom
distance to the lowest polymorph of the same formula: 0 meV per atom
symmetry: P4/mmm (123)

The structure in POSCAR format:
```
PmHgP2
1.0
3.812 0.000 0.000
0.000 4.648 0.000
0.000 0.000 4.648
Hg P Pm
1 2 1
Direct
0.500 0.500 0.500
0.000 0.000 0.500
0.000 0.500 0.000
0.500 0.000 0.000
```



Entry 2:
Entry from Alexandria: NaHfTlCl6 after structural relaxation (GGA-PBE).

Output
formation energy (no corrections): -15.29 eV per formula unit
symmetry: P-31c (163)

The structure in POSCAR format:
```
NaHfTlCl6
1.0
7.044 0.000 0.000
-3.522 6.100 0.000
0.000 0.000 13.479
Cl Na Hf Tl
12 2 2 2
Direct
0.610 0.649 0.644
0.961 0.610 0.356
0.649 0.039 0.356
0.351 0.390 0.856
0.610 0.961 0.856
0.039 0.649 0.856
0.649 0.610 0.144
0.961 0.351 0.144
0.351 0.961 0.644
0.039 0.390 0.644
0.390 0.039 0.144
0.390 0.351 0.356
0.333 0.667 0.250
0.667 0.333 0.750
0.667 0.333 0.250
0.333 0.667 0.750
0.000 0.000 0.000
0.000 0.000 0.500
```



Entry 3:
Entry from Alexandria: MgTe2Os after structural relaxation (GGA-PBE).

Output
formation energy (no corrections): 0.17 eV per formula unit
symmetry: P4mm (99)

The structure in POSCAR format:
```
MgTe2Os
1.0
3.166 0.000 0.000
0.000 3.166 0.000
0.000 0.000 9.561
Te Os Mg
2 1 1
Direct
0.000 0.000 0.905
0.500 0.500 0.291
0.500 0.500 0.748
0.000 0.000 0.556
```



| no. | N(E_F) (states/eV/cell) | V (Å³ per cell) |
| --- | --- | --- |
| 1 | 1.3 | 82 |
| 2 | 0.0 | 579 |
| 3 | 0.8 | 96 |